4
Lattice="1.745 1.008 8.190 -1.745 1.008 8.190 0.000 -2.015 8.190" Properties=species:S:1:pos:R:3 comment="Mg2HgAu | Alexandria | PBE | relaxed" m_tot_mub_per_cell=0.000 formation_energy_ev_per_fu=-1.1 pbc="T T T"
Mg 0.000 0.000 6.012
Mg 0.000 0.000 18.559
Hg 0.000 0.000 0.000
Au 0.000 0.000 12.285

---

4
Lattice="4.726 -1.698 0.000 4.726 1.698 0.000 -1.272 0.000 4.847" Properties=species:S:1:pos:R:3 comment="MgHgAu2 | Alexandria | PBE | relaxed" m_tot_mub_per_cell=0.000 formation_energy_ev_per_fu=-0.9 pbc="T T T"
Mg 0.000 0.000 0.000
Hg 4.090 0.000 2.423
Au 1.527 0.000 3.730
Au 6.654 0.000 1.117

---

5
Lattice="-1.941 1.941 7.168 1.941 -1.941 7.168 1.941 1.941 -7.168" Properties=species:S:1:pos:R:3 comment="Mg2HgAu2 | Alexandria | PBE | relaxed" relative_energy_kj_per_mol_fu=82 m_tot_mub_per_cell=0.000 formation_energy_ev_per_fu=-1.4 pbc="T T T"
Mg 0.000 0.000 1.539
Mg 0.000 0.000 12.797
Hg 0.000 0.000 7.168
Au 1.941 0.000 3.584
Au 0.000 1.941 3.584